VASP calculation (GGA-PBE) on crystalline Na3Bi2Pd2 at its relaxed geometry.

The structure in CIF format:
```
data_Na3Bi2Pd2
_chemical_formula_sum 'Na3 Bi2 Pd2'
_symmetry_space_group_name_H-M 'P 1'
_symmetry_Int_Tables_number 1
_symmetry_space_group_name_Hall 'P 1'
_cell_length_a 4.9348
_cell_length_b 4.9348
_cell_length_c 8.1403
_cell_angle_alpha 107.76
_cell_angle_beta 107.76
_cell_angle_gamma 60.02
loop_
_atom_site_label
_atom_site_type_symbol
_atom_site_fract_x
_atom_site_fract_y
_atom_site_fract_z
Na1 Na 0.0000 0.0000 0.0000
Na2 Na 0.1399 0.1399 0.4200
Na3 Na 0.8601 0.8601 0.5800
Bi1 Bi 0.4033 0.4033 0.2108
Bi2 Bi 0.5967 0.5967 0.7892
Pd1 Pd 0.2746 0.2746 0.8226
Pd2 Pd 0.7254 0.7254 0.1774
```

* N(E_F): 2.84 states/eV per cell
* energy relative to the elements: -0.33 eV per atom
* space-group type: C2/m, No. 12